Density functional theory data (GGA-PBE) for a relaxed structure of MgBiH.

Summary:
The raw total energy is -3.006 eV per atom.

Unit cell a=3.329 b=6.269 c=6.351 alpha=67.88 beta=74.83 gamma=88.99
Space group P-1 (No. 2)
Symmetry-distinct sites (fractional):
1 Mg 0.200 0.275 0.113 [2 per cell]
2 Bi 0.458 0.205 0.592 [2 per cell]
3 H 0.221 0.617 0.052 [2 per cell]

=====

Density functional theory data (GGA-PBE) for a relaxed structure of NaAcAsPt.

Summary:
The raw total energy is -4.683 eV per atom.

Unit cell a=7.350 b=7.350 c=7.350 alpha=90.00 beta=90.00 gamma=90.00
Space group F-43m (No. 216)
Symmetry-distinct sites (fractional):
1 Na 0.000 0.000 0.000 [4 per cell]
2 Ac 0.000 0.000 0.500 [4 per cell]
3 As 0.250 0.250 0.250 [4 per cell]
4 Pt 0.250 0.250 0.750 [4 per cell]

=====

Density functional theory data (GGA-PBE) for a relaxed structure of U3InPt12.

Summary:
The raw total energy is -7.482 eV per atom.

Unit cell a=4.142 b=4.142 c=16.459 alpha=90.00 beta=90.00 gamma=90.00
Space group P4/mmm (No. 123)
Symmetry-distinct sites (fractional):
1 U 0.000 0.000 0.000 [1 per cell]
2 U 0.000 0.000 0.255 [2 per cell]
3 In 0.000 0.000 0.500 [1 per cell]
4 Pt 0.000 0.500 0.127 [4 per cell]
5 Pt 0.000 0.500 0.376 [4 per cell]
6 Pt 0.500 0.500 0.000 [1 per cell]
7 Pt 0.500 0.500 0.253 [2 per cell]
8 Pt 0.500 0.500 0.500 [1 per cell]

=====

Density functional theory data (GGA-PBE) for a relaxed structure of Rb2Cd2F.

Summary:
The raw total energy is -1.711 eV per atom.

Unit cell a=7.417 b=7.417 c=8.728 alpha=90.00 beta=90.00 gamma=90.00
Space group I4/mmm (No. 139)
Symmetry-distinct sites (fractional):
1 Rb 0.000 0.500 0.250 [4 per cell]
2 Cd 0.000 0.000 0.226 [4 per cell]
3 F 0.000 0.000 0.500 [2 per cell]

=====

Density functional theory data (GGA-PBE) for a relaxed structure of CaBeMo.

Summary:
The raw total energy is -4.687 eV per atom.

Unit cell a=4.6418 b=4.6418 c=2.8238 alpha=90.00 beta=90.00 gamma=120.00
Space group P3m1 (No. 156)
Symmetry-distinct sites (fractional):
1 Ca 0.0000 0.0000 0.0000 [1 per cell]
2 Be 0.3333 0.6667 0.5038 [1 per cell]
3 Mo 0.6667 0.3333 0.4972 [1 per cell]

=====

Density functional theory data (GGA-PBE) for a relaxed structure of Ti4MnNi15.

Summary:
The raw total energy is -6.771 eV per atom.

Unit cell a=3.604 b=3.604 c=17.986 alpha=90.00 beta=90.00 gamma=90.00
Space group P4/mmm (No. 123)
Symmetry-distinct sites (fractional):
1 Ti 0.000 0.000 0.101 [2 per cell]
2 Ti 0.000 0.000 0.303 [2 per cell]
3 Mn 0.000 0.000 0.500 [1 per cell]
4 Ni 0.000 0.500 0.000 [2 per cell]
5 Ni 0.000 0.500 0.200 [4 per cell]
6 Ni 0.000 0.500 0.400 [4 per cell]
7 Ni 0.500 0.500 0.100 [2 per cell]
8 Ni 0.500 0.500 0.300 [2 per cell]
9 Ni 0.500 0.500 0.500 [1 per cell]